(1)
First-principles (meta-GGA SCAN) data for a PBEsol-optimized structure of MgMn2Fe, as listed in Alexandria.

```
data_MgMn2Fe
_chemical_formula_sum 'Mg1 Mn2 Fe1'
_symmetry_space_group_name_H-M 'P 1 2/m 1'
_symmetry_Int_Tables_number 10
_cell_length_a 2.515
_cell_length_b 4.139
_cell_length_c 4.823
_cell_angle_alpha 90.00
_cell_angle_beta 98.65
_cell_angle_gamma 90.00
loop_
_symmetry_equiv_pos_as_xyz
'x,y,z'
'-x,-y,-z'
'-x,y,-z'
'x,-y,z'
loop_
_atom_site_label
_atom_site_type_symbol
_atom_site_fract_x
_atom_site_fract_y
_atom_site_fract_z
Mg1 Mg 0.000 0.000 0.000
Mn1 Mn 0.276 0.500 0.716
Fe1 Fe 0.500 0.000 0.500
```

As for the total energy: -14.607 eV/atom. The density of states at the Fermi level is 3.28 states/eV per cell. The calculation puts the formation energy at 0.297 eV/atom.

***

(2)
First-principles (meta-GGA SCAN) data for a PBEsol-optimized structure of MgMn2Fe, as listed in Alexandria.

```
data_MgMn2Fe
_chemical_formula_sum 'Mg2 Mn4 Fe2'
_symmetry_space_group_name_H-M 'C 1 2/m 1'
_symmetry_Int_Tables_number 12
_cell_length_a 8.870
_cell_length_b 2.612
_cell_length_c 4.294
_cell_angle_alpha 90.00
_cell_angle_beta 107.31
_cell_angle_gamma 90.00
loop_
_symmetry_equiv_pos_as_xyz
'x,y,z'
'-x,-y,-z'
'-x,y,-z'
'x,-y,z'
'x+1/2,y+1/2,z'
'-x+1/2,-y+1/2,-z'
'-x+1/2,y+1/2,-z'
'x+1/2,-y+1/2,z'
loop_
_atom_site_label
_atom_site_type_symbol
_atom_site_fract_x
_atom_site_fract_y
_atom_site_fract_z
Mg1 Mg 0.000 0.000 0.000
Mn1 Mn 0.227 0.000 0.709
Fe1 Fe 0.000 0.500 0.500
```

As for the total energy: -14.508 eV/atom. The density of states at the Fermi level is 7.45 states/eV per cell. The calculation puts the formation energy at 0.396 eV/atom.

***

(3)
First-principles (meta-GGA SCAN) data for a PBEsol-optimized structure of MgMnFe, as listed in Alexandria.

```
data_MgMnFe
_chemical_formula_sum 'Mg4 Mn4 Fe4'
_symmetry_space_group_name_H-M 'F -4 3 m'
_symmetry_Int_Tables_number 216
_symmetry_space_group_name_Hall 'F -4 2 3'
_cell_length_a 5.503
_cell_length_b 5.503
_cell_length_c 5.503
_cell_angle_alpha 90.00
_cell_angle_beta 90.00
_cell_angle_gamma 90.00
loop_
_atom_site_label
_atom_site_type_symbol
_atom_site_fract_x
_atom_site_fract_y
_atom_site_fract_z
Mg1 Mg 0.000 0.000 0.000
Mn1 Mn 0.000 0.000 0.500
Fe1 Fe 0.250 0.250 0.750
```

As for the total energy: -13.060 eV/atom. The density of states at the Fermi level is 13.46 states/eV per cell. The relative energy among the computed polymorphs comes out at 345 meV/atom. The calculation puts the formation energy at 0.726 eV/atom.

***

(4)
First-principles (meta-GGA SCAN) data for a PBEsol-optimized structure of MgMnFe, as listed in Alexandria.

```
data_MgMnFe
_chemical_formula_sum 'Mg1 Mn1 Fe1'
_symmetry_space_group_name_H-M 'P 3 m 1'
_symmetry_Int_Tables_number 156
_cell_length_a 2.6336
_cell_length_b 2.6336
_cell_length_c 6.3825
_cell_angle_alpha 90.00
_cell_angle_beta 90.00
_cell_angle_gamma 120.00
loop_
_symmetry_equiv_pos_as_xyz
'x,y,z'
'-y,x-y,z'
'-x+y,-x,z'
'-y,-x,z'
'-x+y,y,z'
'x,x-y,z'
loop_
_atom_site_label
_atom_site_type_symbol
_atom_site_fract_x
_atom_site_fract_y
_atom_site_fract_z
Mg1 Mg 0.0000 0.0000 0.0000
Mn1 Mn 0.6667 0.3333 0.6358
Fe1 Fe 0.3333 0.6667 0.3576
```

As for the total energy: -13.405 eV/atom. The density of states at the Fermi level is 2.66 states/eV per cell. The relative energy among the computed polymorphs comes out at 0 meV/atom. The calculation puts the formation energy at 0.381 eV/atom.

***

(5)
First-principles (meta-GGA SCAN) data for a PBEsol-optimized structure of Mg14MnFeO16, as listed in Alexandria.

```
data_Mg14MnFeO16
_chemical_formula_sum 'Mg14 Mn1 Fe1 O16'
_symmetry_space_group_name_H-M 'P 4/m m m'
_symmetry_Int_Tables_number 123
_symmetry_space_group_name_Hall '-P 4 2'
_cell_length_a 8.482
_cell_length_b 8.482
_cell_length_c 4.225
_cell_angle_alpha 90.00
_cell_angle_beta 90.00
_cell_angle_gamma 90.00
loop_
_atom_site_label
_atom_site_type_symbol
_atom_site_fract_x
_atom_site_fract_y
_atom_site_fract_z
Mg1 Mg 0.000 0.249 0.000
Mg2 Mg 0.000 0.500 0.500
Mg3 Mg 0.248 0.500 0.000
Mg4 Mg 0.249 0.249 0.500
Mn1 Mn 0.500 0.500 0.500
Fe1 Fe 0.000 0.000 0.500
O1 O 0.000 0.000 0.000
O2 O 0.000 0.254 0.500
O3 O 0.000 0.500 0.000
O4 O 0.245 0.500 0.500
O5 O 0.250 0.250 0.000
O6 O 0.500 0.500 0.000
```

As for the total energy: -9.249 eV/atom. The density of states at the Fermi level is 2.58 states/eV per cell. Its uncorrected formation energy is -2.82 eV per atom.

***

(6)
First-principles (meta-GGA SCAN) data for a PBEsol-optimized structure of Mg14MnFeO16, as listed in Alexandria.

```
data_Mg14MnFeO16
_chemical_formula_sum 'Mg14 Mn1 Fe1 O16'
_symmetry_space_group_name_H-M 'P m m m'
_symmetry_Int_Tables_number 47
_cell_length_a 4.217
_cell_length_b 8.451
_cell_length_c 8.510
_cell_angle_alpha 90.00
_cell_angle_beta 90.00
_cell_angle_gamma 90.00
loop_
_symmetry_equiv_pos_as_xyz
'x,y,z'
'-x,-y,-z'
'-x,-y,z'
'x,y,-z'
'x,-y,-z'
'-x,y,z'
'-x,y,-z'
'x,-y,z'
loop_
_atom_site_label
_atom_site_type_symbol
_atom_site_fract_x
_atom_site_fract_y
_atom_site_fract_z
Mg1 Mg 0.000 0.000 0.000
Mg2 Mg 0.000 0.249 0.249
Mg3 Mg 0.000 0.500 0.000
Mg4 Mg 0.500 0.000 0.250
Mg5 Mg 0.500 0.248 0.500
Mg6 Mg 0.500 0.250 0.000
Mg7 Mg 0.500 0.500 0.248
Mn1 Mn 0.000 0.500 0.500
Fe1 Fe 0.000 0.000 0.500
O1 O 0.000 0.000 0.244
O2 O 0.000 0.250 0.000
O3 O 0.000 0.251 0.500
O4 O 0.000 0.500 0.243
O5 O 0.500 0.000 0.000
O6 O 0.500 0.000 0.500
O7 O 0.500 0.250 0.251
O8 O 0.500 0.500 0.000
O9 O 0.500 0.500 0.500
```

As for the total energy: -9.251 eV/atom. The density of states at the Fermi level is 0.23 states/eV per cell. Its uncorrected formation energy is -2.82 eV per atom.

***

(7)
First-principles (meta-GGA SCAN) data for a PBEsol-optimized structure of Mg2FeMo, as listed in Alexandria.

```
data_Mg2FeMo
_chemical_formula_sum 'Mg2 Fe1 Mo1'
_symmetry_space_group_name_H-M 'P 4 m m'
_symmetry_Int_Tables_number 99
_cell_length_a 2.955
_cell_length_b 2.955
_cell_length_c 7.335
_cell_angle_alpha 90.00
_cell_angle_beta 90.00
_cell_angle_gamma 90.00
loop_
_symmetry_equiv_pos_as_xyz
'x,y,z'
'-y,x,z'
'-x,-y,z'
'y,-x,z'
'-x,y,z'
'y,x,z'
'x,-y,z'
'-y,-x,z'
loop_
_atom_site_label
_atom_site_type_symbol
_atom_site_fract_x
_atom_site_fract_y
_atom_site_fract_z
Mg1 Mg 0.000 0.000 0.000
Mg2 Mg 0.500 0.500 0.321
Fe1 Fe 0.500 0.500 0.764
Mo1 Mo 0.000 0.000 0.593
```

As for the total energy: -15.549 eV/atom. The density of states at the Fermi level is 2.88 states/eV per cell. The relative energy among the computed polymorphs comes out at 0 meV/atom. The calculation puts the formation energy at 0.191 eV/atom.

***

(8)
First-principles (meta-GGA SCAN) data for a PBEsol-optimized structure of Mg2FeMo, as listed in Alexandria.

```
data_Mg2FeMo
_chemical_formula_sum 'Mg8 Fe4 Mo4'
_symmetry_space_group_name_H-M 'F -4 3 m'
_symmetry_Int_Tables_number 216
_symmetry_space_group_name_Hall 'F -4 2 3'
_cell_length_a 6.142
_cell_length_b 6.142
_cell_length_c 6.142
_cell_angle_alpha 90.00
_cell_angle_beta 90.00
_cell_angle_gamma 90.00
loop_
_atom_site_label
_atom_site_type_symbol
_atom_site_fract_x
_atom_site_fract_y
_atom_site_fract_z
Mg1 Mg 0.000 0.000 0.000
Mg2 Mg 0.250 0.250 0.250
Fe1 Fe 0.000 0.000 0.500
Mo1 Mo 0.250 0.250 0.750
```

As for the total energy: -15.329 eV/atom. The density of states at the Fermi level is 0.78 states/eV per cell. The relative energy among the computed polymorphs comes out at 220 meV/atom. The calculation puts the formation energy at 0.412 eV/atom.

***

(9)
First-principles (meta-GGA SCAN) data for a PBEsol-optimized structure of Sr10Mg4FeMo5O30, as listed in Alexandria.

```
data_Sr10Mg4FeMo5O30
_chemical_formula_sum 'Sr20 Mg8 Fe2 Mo10 O60'
_symmetry_space_group_name_H-M 'I 4/m'
_symmetry_Int_Tables_number 87
_symmetry_space_group_name_Hall '-I 4'
_cell_length_a 12.334
_cell_length_b 12.334
_cell_length_c 7.877
_cell_angle_alpha 90.00
_cell_angle_beta 90.00
_cell_angle_gamma 90.00
loop_
_atom_site_label
_atom_site_type_symbol
_atom_site_fract_x
_atom_site_fract_y
_atom_site_fract_z
Sr1 Sr 0.000 0.500 0.250
Sr2 Sr 0.101 0.800 0.250
Mg1 Mg 0.098 0.300 0.000
Fe1 Fe 0.000 0.000 0.500
Mo1 Mo 0.000 0.000 0.000
Mo2 Mo 0.098 0.296 0.500
O1 O 0.000 0.000 0.249
O2 O 0.027 0.152 0.000
O3 O 0.052 0.626 0.000
O4 O 0.054 0.672 0.500
O5 O 0.064 0.142 0.500
O6 O 0.098 0.297 0.257
O7 O 0.232 0.750 0.000
```

As for the total energy: -15.286 eV/atom. Its uncorrected formation energy is -2.84 eV per atom.

***

(10)
First-principles (meta-GGA SCAN) data for a PBEsol-optimized structure of MgFe2MoPt, as listed in Alexandria.

```
data_MgFe2MoPt
_chemical_formula_sum 'Mg1 Fe2 Mo1 Pt1'
_symmetry_space_group_name_H-M 'P 4/m m m'
_symmetry_Int_Tables_number 123
_symmetry_space_group_name_Hall '-P 4 2'
_cell_length_a 4.345
_cell_length_b 4.345
_cell_length_c 4.886
_cell_angle_alpha 90.00
_cell_angle_beta 90.00
_cell_angle_gamma 90.00
loop_
_atom_site_label
_atom_site_type_symbol
_atom_site_fract_x
_atom_site_fract_y
_atom_site_fract_z
Mg1 Mg 0.000 0.000 0.000
Fe1 Fe 0.000 0.500 0.500
Mo1 Mo 0.500 0.500 0.500
Pt1 Pt 0.500 0.500 0.000
```

As for the total energy: -28.216 eV/atom. The density of states at the Fermi level is 4.35 states/eV per cell. The calculation puts the formation energy at 1.046 eV/atom.

***

(11)
First-principles (meta-GGA SCAN) data for a PBEsol-optimized structure of MgFeN2, as listed in Alexandria.

```
data_MgFeN2
_chemical_formula_sum 'Mg4 Fe4 N8'
_symmetry_space_group_name_H-M 'I -4 2 d'
_symmetry_Int_Tables_number 122
_symmetry_space_group_name_Hall 'I -4 2bw'
_cell_length_a 4.465
_cell_length_b 4.465
_cell_length_c 8.717
_cell_angle_alpha 90.00
_cell_angle_beta 90.00
_cell_angle_gamma 90.00
loop_
_atom_site_label
_atom_site_type_symbol
_atom_site_fract_x
_atom_site_fract_y
_atom_site_fract_z
Mg1 Mg 0.000 0.000 0.000
Fe1 Fe 0.000 0.000 0.500
N1 N 0.191 0.250 0.625
```

As for the total energy: -10.802 eV/atom. The density of states at the Fermi level is 7.07 states/eV per cell. Its uncorrected formation energy is -0.38 eV per atom.

***

(12)
First-principles (meta-GGA SCAN) data for a PBEsol-optimized structure of MgNbFe2N, as listed in Alexandria.

```
data_MgNbFe2N
_chemical_formula_sum 'Mg1 Nb1 Fe2 N1'
_symmetry_space_group_name_H-M 'P 4/m m m'
_symmetry_Int_Tables_number 123
_symmetry_space_group_name_Hall '-P 4 2'
_cell_length_a 4.327
_cell_length_b 4.327
_cell_length_c 5.511
_cell_angle_alpha 90.00
_cell_angle_beta 90.00
_cell_angle_gamma 90.00
loop_
_atom_site_label
_atom_site_type_symbol
_atom_site_fract_x
_atom_site_fract_y
_atom_site_fract_z
Mg1 Mg 0.000 0.000 0.000
Nb1 Nb 0.000 0.000 0.500
Fe1 Fe 0.000 0.500 0.500
N1 N 0.500 0.500 0.000
```

As for the total energy: -14.366 eV/atom. The density of states at the Fermi level is 3.32 states/eV per cell. Its uncorrected formation energy is 2.36 eV per atom.